DFT (PBE-GGA) results for an optimized crystal structure of TaTi3F.

Properties
Its uncorrected formation energy is -52.33 kJ/mol of atoms. For the relative energy among the computed polymorphs, the calculation gives 0 meV/atom. As for the density of states at the Fermi level: 3.26 states/eV/atom.

Cell lengths 4.241, 4.241, 4.241 Å; angles 90.00, 90.00, 90.00 degrees
Positions (direct):
F 0.000 0.000 0.000
Ti 0.000 0.500 0.000
Ti 0.000 0.000 0.500
Ti 0.500 0.000 0.000
Ta 0.500 0.500 0.500

=====

DFT (PBE-GGA) results for an optimized crystal structure of Ta3TiF.

Properties
Its uncorrected formation energy is 148.37 kJ/mol of atoms. For the relative energy among the computed polymorphs, the calculation gives 1422 meV/atom. As for the density of states at the Fermi level: 1.69 states/eV/atom.

Cell lengths 4.743, 4.743, 4.743 Å; angles 90.00, 90.00, 90.00 degrees
Positions (direct):
F 0.500 0.500 0.500
Ti 0.000 0.000 0.000
Ta 0.000 0.500 0.000
Ta 0.000 0.000 0.500
Ta 0.500 0.000 0.000